# 1
A plane-wave DFT calculation with PBE was carried out for crystalline ThCrB14 at its relaxed geometry.

The structure in POSCAR format:
```
ThCrB14
1.0
5.341 0.000 2.377
1.972 6.621 2.758
-0.110 0.101 7.437
B Cr Th
28 2 2
direct
0.223 0.779 0.098
0.374 0.990 0.261
0.828 0.973 0.873
0.277 0.402 0.721
0.900 0.779 0.098
0.083 0.086 0.748
0.333 0.637 0.697
0.826 0.373 0.473
0.400 0.598 0.279
0.833 0.197 0.137
0.667 0.363 0.303
0.583 0.248 0.586
0.626 0.010 0.739
0.174 0.627 0.527
0.600 0.402 0.721
0.723 0.598 0.279
0.777 0.221 0.902
0.167 0.803 0.863
0.100 0.221 0.902
0.328 0.373 0.473
0.917 0.914 0.252
0.126 0.239 0.510
0.417 0.752 0.414
0.326 0.973 0.873
0.874 0.761 0.490
0.674 0.027 0.127
0.672 0.627 0.527
0.172 0.027 0.127
0.000 0.000 0.500
0.500 0.000 0.500
0.250 0.375 0.125
0.750 0.625 0.875
```

Values from the calculation:
**Formation energy**: -2.11 eV/f.u.
**Mass density**: 5.5 g/cm³
**Total magnetization**: 4.59 Bohr magnetons per cell
**Space-group type**: No. 74

***

# 2
A plane-wave DFT calculation with PBE was carried out for crystalline CsZnP at its relaxed geometry.

The structure in POSCAR format:
```
CsZnP
1.0
12.252 0.000 0.000
0.000 5.918 0.000
0.000 0.000 7.135
Cs P Zn
4 4 4
direct
0.845 0.750 0.471
0.345 0.750 0.029
0.155 0.250 0.529
0.655 0.250 0.971
0.576 0.750 0.696
0.076 0.750 0.804
0.424 0.250 0.304
0.924 0.250 0.196
0.500 0.000 0.500
0.000 0.000 0.000
0.500 0.500 0.500
0.000 0.500 0.000
```

Values from the calculation:
**Formation energy**: -1.11 eV/f.u.
**Mass density**: 2.9 g/cm³
**Total magnetization**: 0.00 Bohr magnetons per cell
**Space-group type**: No. 62

***

# 3
A plane-wave DFT calculation with PBE was carried out for crystalline Hf2ScFePd at its relaxed geometry.

The structure in POSCAR format:
```
Hf2ScFePd
1.0
4.590 0.000 0.000
0.000 4.965 0.000
0.000 0.000 4.590
Sc Hf Pd Fe
1 2 1 1
direct
0.500 0.500 0.500
0.500 0.000 0.000
0.000 0.000 0.500
0.000 0.500 0.000
0.000 0.000 0.000
```

Values from the calculation:
**Formation energy**: 0.98 eV/f.u.
**Mass density**: 9.0 g/cm³
**Total magnetization**: 0.00 Bohr magnetons per cell
**Space-group type**: No. 123

***

# 4
A plane-wave DFT calculation with PBE was carried out for crystalline CaNd2N2Cl2 at its relaxed geometry.

The structure in POSCAR format:
```
CaNd2N2Cl2
1.0
4.439 0.000 0.000
0.000 4.439 0.000
-2.219 -2.219 7.244
Ca Cl Nd N
1 2 2 2
direct
0.000 0.000 0.000
0.803 0.803 0.607
0.197 0.197 0.393
0.602 0.602 0.204
0.398 0.398 0.796
0.000 0.500 0.000
0.500 0.000 0.000
```

Values from the calculation:
**Mass density**: 5.0 g/cm³
**Total magnetization**: 0.00 Bohr magnetons per cell
**Space-group type**: No. 139
**Total DFT energy (no corrections)**: -5.9126 eV per atom

***

# 5
A plane-wave DFT calculation with PBE was carried out for crystalline PrSm2HoTe5 at its relaxed geometry.

The structure in POSCAR format:
```
PrSm2HoTe5
1.0
5.514 0.000 0.000
0.000 5.514 0.000
0.000 0.000 11.858
Sm Te Ho Pr
2 5 1 1
direct
0.500 0.500 0.652
0.500 0.500 0.348
0.000 0.500 0.500
0.000 0.000 0.749
0.500 0.500 0.000
0.500 0.000 0.500
0.000 0.000 0.251
0.000 0.000 0.500
0.000 0.000 0.000
```

Values from the calculation:
**Mass density**: 5.7 g/cm³
**Total magnetization**: 0.60 Bohr magnetons per cell
**Space-group type**: No. 123
**Total DFT energy (no corrections)**: -4.6298 eV per atom

***

# 6
A plane-wave DFT calculation with PBE was carried out for crystalline CeLuCo2 at its relaxed geometry.

The structure in POSCAR format:
```
CeLuCo2
1.0
-1.423 1.684 2.934
-3.295 -0.999 1.270
1.301 -4.227 5.351
Lu Co Ce
1 2 1
direct
0.000 0.000 0.000
0.755 0.755 0.735
0.245 0.245 0.265
0.500 0.500 0.500
```

Values from the calculation:
**Formation energy**: -0.15 eV/f.u.
**Mass density**: 9.3 g/cm³
**Total magnetization**: 0.00 Bohr magnetons per cell
**Space-group type**: No. 166

***

Question: Look up the total magnetization of the fifth one.
Answer: 0.60 Bohr magnetons per cell

***

Question: Which of these has the highest mass density?
Answer: CeLuCo2

***

Question: Which of these has the highest mass density?
Answer: CeLuCo2